Entry from Alexandria: a relaxed RbCrSe4 crystal (PBE).

```
RbCrSe4
1.0
7.2583 -4.3185 0.0000
7.2583 4.3185 0.0000
-0.0684 0.0000 5.8107
Rb Cr Se
2 2 8
direct
0.1675 0.1675 0.2919
0.8325 0.8325 0.7081
0.4982 0.4982 0.2471
0.5018 0.5018 0.7529
0.1930 0.5666 0.1119
0.2690 0.7310 0.5000
0.3313 0.3313 0.8003
0.4334 0.8070 0.8881
0.5666 0.1930 0.1119
0.6687 0.6687 0.1997
0.7310 0.2690 0.5000
0.8070 0.4334 0.8881
```

Output
total magnetization = 4.80 μB/cell
calculated total energy = -27.020 eV/f.u.
raw formation energy = -0.415 eV per atom
crystal system = monoclinic
calculated volume = 182.1 Å³/f.u.
symmetry = C2/m (12)